w.
A plane-wave DFT calculation with PBEsol was carried out for an optimized crystal structure of La5Cd.

Its density of states at the Fermi level is 1.424 states/eV/atom.

It has space group Cmmm (No. 65), with a = 4.9294 Å, b = 14.9637 Å, c = 5.0520 Å, α = 90.00°, β = 90.00° and γ = 90.00°. The distinct sites, in fractional coordinates, are La at (0.0000, 0.0000, 0.0000), La at (0.0000, 0.1713, 0.5000), La at (0.0000, 0.3398, 0.0000) and Cd at (0.0000, 0.5000, 0.5000).

=====

x.
A plane-wave DFT calculation with PBEsol was carried out for an optimized crystal structure of La5Cd.

Its density of states at the Fermi level is 1.338 states/eV/atom.

It has space group Amm2 (No. 38), with a = 5.8110 Å, b = 3.6589 Å, c = 17.8824 Å, α = 90.00°, β = 90.00° and γ = 90.00°. The distinct sites, in fractional coordinates, are La at (0.0000, 0.0000, 0.0000), La at (0.0000, 0.0000, 0.3135), La at (0.5000, 0.0000, 0.1832), La at (0.5000, 0.0000, 0.5267), La at (0.5000, 0.0000, 0.8519) and Cd at (0.0000, 0.0000, 0.6543).

=====

It is w that is the most stable of them.

=====

w.
A plane-wave DFT calculation with PBEsol was carried out for an optimized crystal structure of La2CdP.

Its density of states at the Fermi level is 1.128 states/eV/atom.

It has space group F-43m (No. 216), with a = 7.2726 Å, b = 7.2726 Å, c = 7.2726 Å, α = 90.00°, β = 90.00° and γ = 90.00°. The distinct sites, in fractional coordinates, are La at (0.0000, 0.0000, 0.0000), La at (0.2500, 0.2500, 0.2500), Cd at (0.0000, 0.0000, 0.5000) and P at (0.2500, 0.2500, 0.7500).

=====

x.
A plane-wave DFT calculation with PBEsol was carried out for an optimized crystal structure of La2CdP.

Its density of states at the Fermi level is 0.609 states/eV/atom.

It has space group Imm2 (No. 44), with a = 3.8574 Å, b = 4.8648 Å, c = 10.6340 Å, α = 90.00°, β = 90.00° and γ = 90.00°. The distinct sites, in fractional coordinates, are La at (0.0000, 0.0000, 0.0000), La at (0.0000, 0.5000, 0.2182), Cd at (0.0000, 0.0000, 0.4256) and P at (0.0000, 0.5000, 0.7320).

=====

y.
A plane-wave DFT calculation with PBEsol was carried out for an optimized crystal structure of La2CdP.

Its density of states at the Fermi level is 1.082 states/eV/atom.

It has space group Cmm2 (No. 35), with a = 4.5746 Å, b = 5.5370 Å, c = 8.7561 Å, α = 90.00°, β = 90.00° and γ = 90.00°. The distinct sites, in fractional coordinates, are La at (0.0000, 0.0000, 0.0000), La at (0.0000, 0.5000, 0.3738), Cd at (0.0000, 0.0000, 0.6300) and P at (0.0000, 0.5000, 0.8106).

=====

z.
A plane-wave DFT calculation with PBEsol was carried out for an optimized crystal structure of La2CdP.

Its density of states at the Fermi level is 1.219 states/eV/atom.

It has space group R-3m (No. 166, hexagonal axes), with a = 4.1509 Å, b = 4.1509 Å, c = 23.7693 Å, α = 90.00°, β = 90.00° and γ = 120.00°. The distinct sites, in fractional coordinates, are La at (0.0000, 0.0000, 0.2357), Cd at (0.0000, 0.0000, 0.0000) and P at (0.0000, 0.0000, 0.5000).

=====

It is z that is the most stable of them.